Here is a relaxed structure of Ni2PtO from Alexandria via LeMat-Bulk. Energies are from PBE+U.

Geometry as extended XYZ:
```
16
Lattice="4.830 0.000 0.000 0.000 4.830 0.000 0.000 0.000 10.630" Properties=species:S:1:pos:R:3 pbc="T T T"
Ni 0.640 1.207 1.329
Ni 1.207 3.054 3.986
Ni 1.207 4.190 9.301
Ni 1.775 1.207 6.644
Ni 3.054 3.622 6.644
Ni 3.622 0.640 9.301
Ni 3.622 1.775 3.986
Ni 4.190 3.622 1.329
Pt 0.000 0.000 5.315
Pt 0.000 2.415 7.972
Pt 2.415 0.000 2.657
Pt 2.415 2.415 0.000
O 0.000 0.000 0.000
O 0.000 2.415 2.657
O 2.415 0.000 7.972
O 2.415 2.415 5.315
```

Results
* E_tot: -57.7 eV per cell
* crystal system: tetragonal